Record 1
PuCu4Sb4: relaxed, PBE.

a = 7.6870 Å, b = 7.6870 Å, c = 8.0724 Å
α = 90.00°, β = 90.00°, γ = 117.48°
Element x y z (fractional)
Sb1 0.6756 0.9565 0.3207
Cu1 0.9524 0.8161 0.3862
Sb2 0.0435 0.3244 0.6793
Cu2 0.3161 0.4524 0.8862
Sb3 0.5435 0.8244 0.8207
Sb4 0.8244 0.5435 0.1793
Cu3 0.0476 0.1839 0.3862
Sb5 0.3244 0.0435 0.3207
Pu1 0.0000 0.0000 0.0000
Sb6 0.9565 0.6756 0.6793
Cu4 0.5476 0.6839 0.1138
Cu5 0.6839 0.5476 0.8862
Cu6 0.8161 0.9524 0.6138
Sb7 0.4565 0.1756 0.8207
Sb8 0.1756 0.4565 0.1793
Cu7 0.4524 0.3161 0.1138
Cu8 0.1839 0.0476 0.6138
Pu2 0.5000 0.5000 0.5000

space-group type	Ccce
E_form (uncorrected)	-52.5	meV/atom

Record 2
PuCuSb: relaxed, PBE.

a = 4.5256 Å, b = 4.5259 Å, c = 8.4321 Å
α = 105.55°, β = 90.00°, γ = 120.00°
Element x y z (fractional)
Cu1 0.1174 0.2348 0.3519
Sb1 0.2500 0.5000 0.7500
Pu1 0.0000 0.0000 0.0000
Sb2 0.7500 0.5000 0.2500
Pu2 0.5000 0.0000 0.5000
Cu2 0.8826 0.7652 0.6481

space-group type	R-3m
E_form (uncorrected)	-308.9	meV/atom

Record 3
Pu5Cu2Sb5: relaxed, PBE.

a = 4.3597 Å, b = 8.2857 Å, c = 9.0814 Å
α = 87.68°, β = 76.11°, γ = 74.75°
Element x y z (fractional)
Cu1 0.6193 0.5208 0.2406
Pu1 0.3767 0.9430 0.3036
Pu2 0.0000 0.5000 0.5000
Sb1 0.0000 0.0000 0.0000
Sb2 0.6923 0.2344 0.3810
Pu3 0.6233 0.0570 0.6964
Cu2 0.3807 0.4792 0.7594
Sb3 0.9254 0.3261 0.8231
Pu4 0.3121 0.2822 0.0936
Sb4 0.0746 0.6739 0.1769
Pu5 0.6879 0.7178 0.9064
Sb5 0.3077 0.7656 0.6190

space-group type	C2/m
E_form (uncorrected)	-475.0	meV/atom

Record 4
PuCuSb: relaxed, PBE.

a = 4.1480 Å, b = 4.3996 Å, c = 4.3996 Å
α = 120.00°, β = 90.00°, γ = 90.00°
Element x y z (fractional)
Pu1 0.6669 0.6667 0.3333
Sb1 0.1670 0.3333 0.6667
Cu1 0.1661 0.0000 0.0000

space-group type	P-6m2
E_form (uncorrected)	-381.9	meV/atom

Record 5
Pu4Cu3Sb8: relaxed, PBE.

a = 4.3785 Å, b = 4.3785 Å, c = 18.8060 Å
α = 90.00°, β = 90.00°, γ = 90.00°
Element x y z (fractional)
Pu1 0.5000 0.0000 0.8859
Cu1 0.0000 0.0000 0.5000
Pu2 0.0000 0.5000 0.6241
Sb1 0.5000 0.5000 0.7550
Sb2 0.5000 0.0000 0.5836
Cu2 0.0000 0.0000 0.0000
Pu3 0.0000 0.5000 0.1141
Cu3 0.5000 0.5000 0.5000
Sb3 0.0000 0.0000 0.7552
Sb4 0.0000 0.0000 0.2448
Sb5 0.5000 0.0000 0.0758
Sb6 0.5000 0.5000 0.2450
Pu4 0.5000 0.0000 0.3759
Sb7 0.0000 0.5000 0.9242
Sb8 0.0000 0.5000 0.4164

space-group type	P-4m2
E_form (uncorrected)	-449.9	meV/atom

Record 6
PuCuTcSb: relaxed, PBE.

a = 4.7202 Å, b = 4.7202 Å, c = 4.7202 Å
α = 60.00°, β = 60.00°, γ = 60.00°
Element x y z (fractional)
Tc1 0.7500 0.7500 0.7500
Sb1 0.0000 0.0000 0.0000
Cu1 0.2500 0.2500 0.2500
Pu1 0.5000 0.5000 0.5000

space-group type	F-43m
E_form (uncorrected)	86.8	meV/atom

Record 7
PuTl2CuSb2: relaxed, PBE.

a = 4.5950 Å, b = 7.2563 Å, c = 10.4602 Å
α = 90.00°, β = 90.00°, γ = 90.00°
Element x y z (fractional)
Sb1 0.5000 0.2135 0.3832
Cu1 0.5000 0.3263 0.6350
Cu2 0.5000 0.8263 0.3650
Sb2 0.0000 0.7433 0.2462
Sb3 0.0000 0.2433 0.7538
Pu1 0.0000 0.9871 0.5154
Tl1 0.5000 0.4593 0.9159
Tl2 0.0000 0.3161 0.1589
Pu2 0.0000 0.4871 0.4846
Tl3 0.5000 0.9593 0.0841
Tl4 0.0000 0.8161 0.8411
Sb4 0.5000 0.7135 0.6168

space-group type	Pmc2_1
E_form (uncorrected)	-191.4	meV/atom

Record 8
PuScCu2: relaxed, PBE.

a = 3.2280 Å, b = 3.2280 Å, c = 7.1796 Å
α = 90.00°, β = 90.00°, γ = 90.00°
Element x y z (fractional)
Cu1 0.0000 0.0000 0.2158
Pu1 0.5000 0.5000 0.5000
Sc1 0.5000 0.5000 0.0000
Cu2 0.0000 0.0000 0.7842

energy above the most stable polymorph in this dataset	0	meV per atom
space-group type	P4/mmm
formation energy	-98	meV per atom

Record 9
Pu2ScCu9: relaxed, PBE.

a = 5.0589 Å, b = 5.0589 Å, c = 8.8632 Å
α = 73.42°, β = 73.42°, γ = 60.00°
Element x y z (fractional)
Pu1 0.1453 0.1453 0.5641
Cu1 0.5790 0.5790 0.7596
Cu2 0.6679 0.6679 0.9962
Cu3 0.4210 0.9176 0.2404
Pu2 0.8547 0.8547 0.4359
Cu4 0.5000 0.5000 0.5000
Sc1 0.0000 0.0000 0.0000
Cu5 0.4210 0.4210 0.2404
Cu6 0.0824 0.5790 0.7596
Cu7 0.5790 0.0824 0.7596
Cu8 0.3321 0.3321 0.0038
Cu9 0.9176 0.4210 0.2404

space-group type	R-3m
formation energy	-71	meV per atom

Record 10
PuSc2Cu: relaxed, PBE.

a = 3.3262 Å, b = 3.3262 Å, c = 9.5558 Å
α = 79.98°, β = 79.98°, γ = 60.00°
Element x y z (fractional)
Pu1 0.5008 0.5008 0.4975
Sc1 0.2633 0.2633 0.2100
Sc2 0.0698 0.0698 0.7904
Cu1 0.6660 0.6660 0.0020

energy above the most stable polymorph in this dataset	150	meV per atom
space-group type	R3m
formation energy	95	meV per atom

Record 11
PuScCu4: relaxed, PBE.

a = 5.1488 Å, b = 5.1488 Å, c = 5.1488 Å
α = 60.00°, β = 60.00°, γ = 60.00°
Element x y z (fractional)
Sc1 0.0000 0.0000 0.0000
Cu1 0.6259 0.6259 0.1222
Cu2 0.6259 0.1222 0.6259
Pu1 0.2500 0.2500 0.2500
Cu3 0.6259 0.6259 0.6259
Cu4 0.1222 0.6259 0.6259

space-group type	F-43m
formation energy	-82	meV per atom

Record 12
PuSc2Cu: relaxed, PBE.

a = 3.2620 Å, b = 3.2620 Å, c = 7.9941 Å
α = 90.00°, β = 90.00°, γ = 90.00°
Element x y z (fractional)
Pu1 0.5000 0.5000 0.5000
Cu1 0.5000 0.5000 0.0000
Sc1 0.0000 0.0000 0.7992
Sc2 0.0000 0.0000 0.2008

energy above the most stable polymorph in this dataset	0	meV per atom
space-group type	P4/mmm
formation energy	-55	meV per atom

Record 13
PuSc4Cu5: relaxed, PBE.

a = 3.2496 Å, b = 3.2496 Å, c = 16.9224 Å
α = 90.00°, β = 90.00°, γ = 90.00°
Element x y z (fractional)
Cu1 0.5000 0.5000 0.5000
Cu2 0.5000 0.5000 0.3054
Cu3 0.5000 0.5000 0.6946
Cu4 0.5000 0.5000 0.8808
Sc1 0.0000 0.0000 0.5971
Pu1 0.0000 0.0000 0.0000
Cu5 0.5000 0.5000 0.1192
Sc2 0.0000 0.0000 0.4029
Sc3 0.0000 0.0000 0.7912
Sc4 0.0000 0.0000 0.2088

space-group type	P4/mmm
formation energy	-209	meV per atom

Record 14
PuScCu10: relaxed, PBE.

a = 4.0869 Å, b = 4.9906 Å, c = 8.6211 Å
α = 90.00°, β = 90.00°, γ = 90.00°
Element x y z (fractional)
Cu1 0.0000 0.0000 0.3409
Cu2 0.5000 0.7468 0.7443
Cu3 0.5000 0.7468 0.2557
Cu4 0.5000 0.5000 0.0000
Pu1 0.0000 0.0000 0.0000
Cu5 0.5000 0.0000 0.5000
Cu6 0.0000 0.5000 0.8237
Cu7 0.0000 0.0000 0.6591
Cu8 0.5000 0.2532 0.2557
Cu9 0.0000 0.5000 0.1763
Sc1 0.0000 0.5000 0.5000
Cu10 0.5000 0.2532 0.7443

space-group type	Pmmm
formation energy	-75	meV per atom

Record 15
PuScCuSn: relaxed, PBE.

a = 5.0331 Å, b = 5.0331 Å, c = 5.0331 Å
α = 60.00°, β = 60.00°, γ = 60.00°
Element x y z (fractional)
Sn1 0.2500 0.2500 0.2500
Sc1 0.0000 0.0000 0.0000
Cu1 0.7500 0.7500 0.7500
Pu1 0.5000 0.5000 0.5000

space-group type	F-43m
formation energy	-224	meV per atom

Record 16
PuScCuTc: relaxed, PBE.

a = 4.7025 Å, b = 4.7025 Å, c = 4.7025 Å
α = 60.00°, β = 60.00°, γ = 60.00°
Element x y z (fractional)
Pu1 0.5000 0.5000 0.5000
Cu1 0.2500 0.2500 0.2500
Sc1 0.0000 0.0000 0.0000
Tc1 0.7500 0.7500 0.7500

space-group type	F-43m
formation energy	-47	meV per atom

Record 17
PuCu3Se3: relaxed, PBE.

a = 7.0180 Å, b = 7.0180 Å, c = 7.8271 Å
α = 63.36°, β = 63.36°, γ = 60.00°
Element x y z (fractional)
Se1 0.7592 0.4085 0.7500
Se2 0.0823 0.7592 0.7500
Cu1 0.5245 0.2246 0.3773
Cu2 0.7754 0.1263 0.6227
Se3 0.4085 0.0823 0.7500
Pu1 0.6665 0.6665 0.0005
Cu3 0.2246 0.8737 0.3773
Se4 0.5915 0.9177 0.2500
Se5 0.9177 0.2408 0.2500
Pu2 0.3335 0.3335 0.9995
Se6 0.2408 0.5915 0.2500
Cu4 0.4755 0.7754 0.6227
Cu5 0.8737 0.5245 0.3773
Cu6 0.1263 0.4755 0.6227

energy above the most stable polymorph in this dataset	0	meV per atom
space-group type	R-3
E_form (uncorrected)	-603.3	meV/atom

Record 18
PuCu3Se3: relaxed, PBE.

a = 4.1099 Å, b = 8.4257 Å, c = 8.4257 Å
α = 120.00°, β = 90.00°, γ = 90.00°
Element x y z (fractional)
Cu1 0.7500 0.1618 0.9615
Cu2 0.7500 0.0385 0.2003
Cu3 0.2500 0.2003 0.1618
Se1 0.2500 0.3249 0.9288
Pu1 0.2500 0.6667 0.3333
Cu4 0.2500 0.9615 0.7997
Cu5 0.7500 0.7997 0.8382
Se2 0.2500 0.6039 0.6751
Se3 0.2500 0.0712 0.3961
Pu2 0.7500 0.3333 0.6667
Se4 0.7500 0.9288 0.6039
Se5 0.7500 0.3961 0.3249
Cu6 0.2500 0.8382 0.0385
Se6 0.7500 0.6751 0.0712

energy above the most stable polymorph in this dataset	48	meV per atom
space-group type	P6_3/m
E_form (uncorrected)	-555.3	meV/atom

Record 19
PuCuSe2: relaxed, PBE.

a = 3.6873 Å, b = 3.6873 Å, c = 8.5873 Å
α = 77.60°, β = 77.60°, γ = 60.00°
Element x y z (fractional)
Se1 0.8888 0.8888 0.3335
Pu1 0.0000 0.0000 0.0000
Se2 0.1112 0.1112 0.6665
Cu1 0.5000 0.5000 0.5000

space-group type	R-3m
E_form (uncorrected)	-99.0	meV/atom

Record 20
PuCu2Se2: relaxed, PBE.

a = 6.7395 Å, b = 6.7395 Å, c = 6.2900 Å
α = 117.25°, β = 117.25°, γ = 98.42°
Element x y z (fractional)
Se1 0.4102 0.5898 0.2500
Se2 0.8381 0.1619 0.2500
Pu1 0.1244 0.8756 0.2500
Cu1 0.2332 0.4804 0.4648
Pu2 0.8756 0.1244 0.7500
Se3 0.5898 0.4102 0.7500
Cu2 0.4804 0.2332 0.9648
Cu3 0.5196 0.7668 0.0352
Cu4 0.7668 0.5196 0.5352
Se4 0.1619 0.8381 0.7500

space-group type	C2/c
E_form (uncorrected)	-526.0	meV/atom

Record 21
PuCuSe3: relaxed, PBE.

a = 3.8820 Å, b = 5.7862 Å, c = 10.6811 Å
α = 90.00°, β = 90.00°, γ = 90.00°
Element x y z (fractional)
Se1 0.7500 0.7500 0.0496
Se2 0.7500 0.9897 0.6796
Pu1 0.2500 0.7500 0.8555
Se3 0.7500 0.5103 0.6796
Cu1 0.2500 0.2500 0.7180
Cu2 0.7500 0.7500 0.2820
Pu2 0.7500 0.2500 0.1445
Se4 0.2500 0.2500 0.9504
Se5 0.2500 0.0103 0.3204
Se6 0.2500 0.4897 0.3204

space-group type	Pmmn
E_form (uncorrected)	-771.5	meV/atom

Record 22
Pu2Cu4Se5: relaxed, PBE.

a = 4.0486 Å, b = 4.0486 Å, c = 16.8152 Å
α = 83.09°, β = 83.09°, γ = 60.00°
Element x y z (fractional)
Se1 0.5000 0.5000 0.5000
Pu1 0.1308 0.1308 0.6076
Se2 0.3661 0.3661 0.9018
Cu1 0.3140 0.3140 0.0581
Cu2 0.6860 0.6860 0.9419
Se3 0.6339 0.6339 0.0982
Se4 0.7636 0.7636 0.7093
Cu3 0.5857 0.5857 0.2430
Cu4 0.4143 0.4143 0.7570
Pu2 0.8692 0.8692 0.3924
Se5 0.2364 0.2364 0.2907

space-group type	R-3m
E_form (uncorrected)	-671.4	meV/atom

Record 23
PuCuSe2: relaxed, PBE.

a = 4.1356 Å, b = 4.1362 Å, c = 8.0230 Å
α = 74.98°, β = 75.11°, γ = 60.00°
Element x y z (fractional)
Se1 0.1152 0.5578 0.5556
Pu1 0.7203 0.1614 0.7424
Cu1 0.2738 0.7221 0.0723
Se2 0.5953 0.0433 0.1082

space-group type	P1
E_form (uncorrected)	-673.8	meV/atom

Record 24
PuCuSe4: relaxed, PBE.

a = 5.5831 Å, b = 7.3331 Å, c = 7.2632 Å
α = 90.00°, β = 90.00°, γ = 109.45°
Element x y z (fractional)
Se1 0.2652 0.5047 0.0482
Pu1 0.5000 0.7500 0.7360
Cu1 0.0000 0.2500 0.8328
Se2 0.7511 0.1100 0.5497
Se3 0.2489 0.3900 0.5497
Se4 0.7348 0.9953 0.0482
Se5 0.2489 0.8900 0.4503
Se6 0.7348 0.4953 0.9518
Se7 0.2652 0.0047 0.9518
Se8 0.7511 0.6100 0.4503
Cu2 0.0000 0.7500 0.1672
Pu2 0.5000 0.2500 0.2640

space-group type	P2/c
E_form (uncorrected)	-528.6	meV/atom

Taking the records one at a time from the top gives E_tot values of -5.2977 -7.8257 -8.8470 -7.8988 -7.2896 -8.1423 -5.4256 -7.3117 -6.0592 -7.6778 -6.2566 -7.8278 -6.2229 -5.2109 -7.4146 -8.8289 -5.8996 -5.8516 -6.4483 -6.4246 -6.5479 -6.3506 -7.0231 -5.9229 eV per atom.
Taking the records one at a time from the top gives D(E_F) values of 1.632 4.384 4.009 3.911 2.798 2.214 2.101 1.943 1.622 2.412 1.704 1.949 1.092 1.512 1.961 1.865 1.617 1.615 2.459 2.409 1.696 2.022 2.746 1.541 states/eV per atom.